The following is a GGA-PBE calculation of a relaxed Ho2Al2Ni15 crystal, from the Alexandria database.

abc: 6.298 6.298 6.298
angles: 82.10 82.10 82.10
Fractional positions:
Ho 0.150 0.150 0.150
Ho 0.850 0.850 0.850
Al 0.397 0.397 0.397
Al 0.603 0.603 0.603
Ni 0.000 0.500 0.500
Ni 0.154 0.154 0.651
Ni 0.154 0.651 0.154
Ni 0.205 0.500 0.795
Ni 0.205 0.795 0.500
Ni 0.349 0.846 0.846
Ni 0.500 0.000 0.500
Ni 0.500 0.205 0.795
Ni 0.500 0.500 0.000
Ni 0.500 0.795 0.205
Ni 0.651 0.154 0.154
Ni 0.795 0.205 0.500
Ni 0.795 0.500 0.205
Ni 0.846 0.349 0.846
Ni 0.846 0.846 0.349

As for the space-group type: R-3m. The formation energy comes out at -6.1 eV per formula unit. Its density of states at the Fermi level is 1.360 states/eV/atom. For the total magnetic moment, the calculation gives 2.093 μB/f.u.



The following is a GGA-PBE calculation of a relaxed Zn2PCl crystal, from the Alexandria database.

abc: 5.457 5.457 5.457
angles: 142.80 99.18 92.52
Fractional positions:
Zn 0.227 0.000 0.227
Zn 0.773 0.000 0.773
P 0.000 0.500 0.500
Cl 0.500 0.500 0.000

As for the space-group type: Immm. The calculation puts the uncorrected formation energy at -0.022 eV/atom. Its density of states at the Fermi level is 0.367 states/eV/atom. The excess energy over the best structure of this formula in the dataset comes out at 48.9 kJ per mole of atoms. For the total magnetic moment, the calculation gives 0.000 μB/f.u.



The following is a GGA-PBE calculation of a relaxed TaTe2PbN crystal, from the Alexandria database.

abc: 5.676 5.676 3.948
angles: 90.00 90.00 90.00
Fractional positions:
Ta 0.000 0.000 0.000
Te 0.000 0.500 0.000
Te 0.500 0.000 0.000
Pb 0.500 0.500 0.500
N 0.000 0.000 0.500

As for the space-group type: P4/mmm. The calculation puts the uncorrected formation energy at -0.084 eV/atom. Its density of states at the Fermi level is 0.375 states/eV/atom. The excess energy over the best structure of this formula in the dataset comes out at 0.0 kJ per mole of atoms. For the total magnetic moment, the calculation gives 0.000 μB/f.u.



The following is a GGA-PBE calculation of a relaxed In2ReTc crystal, from the Alexandria database.

abc: 4.626 4.626 4.626
angles: 60.00 60.00 60.00
Fractional positions:
In 0.250 0.250 0.250
In 0.750 0.750 0.750
Re 0.000 0.000 0.000
Tc 0.500 0.500 0.500

As for the space-group type: Fm-3m. The formation energy comes out at 2.6 eV per formula unit. Its density of states at the Fermi level is 1.229 states/eV/atom. The excess energy over the best structure of this formula in the dataset comes out at 50.9 kJ per mole of atoms. For the total magnetic moment, the calculation gives 1.598 μB/f.u.



The following is a GGA-PBE calculation of a relaxed YMn2Co crystal, from the Alexandria database.

abc: 8.637 8.637 8.637
angles: 151.30 151.30 41.03
Fractional positions:
Y 0.375 0.625 0.750
Y 0.625 0.375 0.250
Mn 0.000 0.000 0.000
Mn 0.000 0.000 0.500
Mn 0.000 0.500 0.000
Mn 0.500 0.000 0.500
Co 0.125 0.875 0.250
Co 0.875 0.125 0.750

As for the space-group type: I4_1/amd. The formation energy comes out at 2.2 eV per formula unit. Its density of states at the Fermi level is 1.341 states/eV/atom. The excess energy over the best structure of this formula in the dataset comes out at 42.5 kJ per mole of atoms. For the total magnetic moment, the calculation gives 3.467 μB/f.u.



The following is a GGA-PBE calculation of a relaxed La5Pr12Er2 crystal, from the Alexandria database.

abc: 10.985 10.985 6.356
angles: 100.89 100.89 66.31
Fractional positions:
La 0.000 0.000 0.000
La 0.214 0.214 0.055
La 0.325 0.325 0.648
La 0.675 0.675 0.352
La 0.786 0.786 0.945
Pr 0.057 0.549 0.301
Pr 0.121 0.121 0.496
Pr 0.154 0.643 0.884
Pr 0.357 0.846 0.116
Pr 0.448 0.448 0.227
Pr 0.451 0.943 0.699
Pr 0.549 0.057 0.301
Pr 0.552 0.552 0.773
Pr 0.643 0.154 0.884
Pr 0.846 0.357 0.116
Pr 0.879 0.879 0.504
Pr 0.943 0.451 0.699
Er 0.228 0.772 0.500
Er 0.772 0.228 0.500

As for the space-group type: C2/m. The formation energy comes out at 1.7 eV per formula unit. Its density of states at the Fermi level is 1.575 states/eV/atom. The excess energy over the best structure of this formula in the dataset comes out at 0.0 kJ per mole of atoms. For the total magnetic moment, the calculation gives 0.000 μB/f.u.